{
  "formula": "Cs2PmNdO4",
  "functional": "PBE-GGA",
  "state": "optimized geometry",
  "lattice_angstrom": [[6.393, 0.000, 0.000], [0.000, 3.691, 0.000], [-2.132, 0.000, 6.948]],
  "species": ["Cs", "Cs", "Pm", "Nd", "O", "O", "O", "O"],
  "fractional_positions": [[0.000, 0.000, 0.000], [0.500, 0.500, 0.000], [0.000, 0.500, 0.500], [0.500, 0.000, 0.500], [0.221, 0.000, 0.669], [0.275, 0.500, 0.331], [0.725, 0.500, 0.669], [0.779, 0.000, 0.331]],
  "mass_density_g_cm3": 6.27,
  "magnetic_moment_mub_per_atom": 0.000,
  "formation_energy_uncorrected_ev_per_atom": -2.521,
  "energy_ev_per_atom": -6.40
}



{
  "formula": "TiNb4W4",
  "functional": "PBE-GGA",
  "state": "optimized geometry",
  "lattice_angstrom": [[5.724, 0.000, 0.000], [0.000, 5.724, 0.000], [0.000, 0.000, 10.480]],
  "species": ["Ti", "Ti", "Nb", "Nb", "Nb", "Nb", "Nb", "Nb", "Nb", "Nb", "W", "W", "W", "W", "W", "W", "W", "W"],
  "fractional_positions": [[0.250, 0.750, 0.250], [0.750, 0.250, 0.750], [0.002, 0.750, 0.514], [0.250, 0.502, 0.986], [0.250, 0.998, 0.986], [0.498, 0.750, 0.514], [0.502, 0.250, 0.486], [0.750, 0.002, 0.014], [0.750, 0.498, 0.014], [0.998, 0.250, 0.486], [0.024, 0.250, 0.186], [0.250, 0.024, 0.686], [0.250, 0.476, 0.686], [0.476, 0.250, 0.186], [0.524, 0.750, 0.814], [0.750, 0.524, 0.314], [0.750, 0.976, 0.314], [0.976, 0.750, 0.814]],
  "mass_density_g_cm3": 11.17,
  "delta_e_f_ev_per_fu": 5.34,
  "magnetic_moment_mub_per_atom": 0.000,
  "energy_ev_per_atom": -10.52
}